VBr2ClF after structural relaxation. Source: Alexandria via LeMat-Bulk, functional PBE+U.

a = 5.419 Å, b = 5.419 Å, c = 4.324 Å
α = 90.00°, β = 90.00°, γ = 90.00°
Space group P4/mmm (No. 123)
One atom of each set of equivalent atoms:
V  0.000  0.000  0.000 x1
Br  0.000  0.500  0.500 x2
Cl  0.500  0.500  0.500 x1
F  0.500  0.500  0.000 x1

ρ (g/cm³): 3.5
Uncorrected energy (eV/atom): -2.43